This record from the Alexandria database describes an optimized crystal structure of CsCr3O8. The functional is GGA+U. Values from VASP.

Structure (Quantum ESPRESSO input):
```
&SYSTEM
  ibrav = 0, nat = 12, ntyp = 3
/
ATOMIC_SPECIES
Cs 132.91 Cs.upf
Cr 52.00 Cr.upf
O 16.00 O.upf
ATOMIC_POSITIONS angstrom
Cs 0.0000 0.0000 0.0000
Cr 0.0000 0.0000 4.2527
Cr 0.0000 3.0906 5.9484
Cr 2.6766 1.5453 2.5569
O -0.4136 1.5493 5.4323
O -1.1280 4.2194 5.4323
O 0.0000 3.0906 7.5812
O 1.1350 1.1329 3.0730
O 1.5416 3.5031 5.4323
O 2.6766 1.5453 0.9241
O 3.8045 0.4165 3.0730
O 3.0901 3.0866 3.0730
CELL_PARAMETERS angstrom
5.3531 0.0000 0.0000
-2.6766 4.6359 0.0000
0.0000 0.0000 8.5053
```

The density of states at the Fermi level comes out at 0.00 states/eV per atom. The value obtained for the calculated density is 3.3 g/cm³. The total DFT energy (no corrections) is -81.224 eV per formula unit.